No. 1
Density functional theory data (PBE) for a relaxed structure of La2YCl.

a = 9.7195 Å, b = 9.7195 Å, c = 7.3891 Å
α = 48.88°, β = 48.88°, γ = 90.00°
Sites, in units of the cell vectors:
La: 0.5254 0.1250 0.2500
Y: 0.0000 0.0000 0.0000
Cl: 0.5000 0.5000 0.0000
La: 0.8750 0.7754 0.7500
La: 0.3750 0.4746 0.7500
La: 0.2246 0.6250 0.2500
Cl: 0.2500 0.7500 0.5000
Y: 0.7500 0.2500 0.5000

- crystal system = tetragonal
- distance to the lowest polymorph of the same formula (eV/atom) = 0.237
- DOS at the Fermi energy (states/eV per cell) = 10.057
- total magnetization (Bohr magnetons per cell) = 0.00
- raw formation energy (eV/atom) = -0.442



No. 2
Density functional theory data (PBE) for a relaxed structure of Tl2TeAs.

a = 12.3795 Å, b = 12.3795 Å, c = 12.3795 Å
α = 15.38°, β = 15.38°, γ = 15.38°
Sites, in units of the cell vectors:
Te: 0.7500 0.7500 0.7500
Tl: 0.5118 0.5118 0.5118
As: 0.2500 0.2500 0.2500
Tl: 0.9882 0.9882 0.9882

- crystal system = trigonal
- distance to the lowest polymorph of the same formula (eV/atom) = 0.161
- DOS at the Fermi energy (states/eV per cell) = 0.592
- total magnetization (Bohr magnetons per cell) = 0.00
- raw formation energy (eV/atom) = 0.169



No. 3
Density functional theory data (PBE) for a relaxed structure of LiNp2P3Pt12.

a = 7.4994 Å, b = 7.4994 Å, c = 7.4994 Å
α = 66.05°, β = 66.05°, γ = 66.05°
Sites, in units of the cell vectors:
Pt: 0.6461 0.6461 0.1084
P: 0.0000 0.5000 0.0000
Pt: 0.3539 0.8916 0.3539
Li: 0.0000 0.0000 0.0000
P: 0.0000 0.0000 0.5000
Pt: 0.3539 0.3539 0.8916
Np: 0.3854 0.3854 0.3854
Pt: 0.1084 0.6461 0.6461
Pt: 0.1351 0.1351 0.6251
Pt: 0.3749 0.8649 0.8649
Pt: 0.8916 0.3539 0.3539
Pt: 0.6251 0.1351 0.1351
Pt: 0.1351 0.6251 0.1351
P: 0.5000 0.0000 0.0000
Pt: 0.8649 0.8649 0.3749
Np: 0.6146 0.6146 0.6146
Pt: 0.8649 0.3749 0.8649
Pt: 0.6461 0.1084 0.6461

- total DFT energy (no corrections) (eV per atom) = -6.78
- crystal system = trigonal
- DOS at the Fermi energy (states/eV per cell) = 23.137
- total magnetization (Bohr magnetons per cell) = 6.93



No. 4
Density functional theory data (PBE) for a relaxed structure of La2PtPb.

a = 5.2793 Å, b = 5.2793 Å, c = 5.2793 Å
α = 60.00°, β = 60.00°, γ = 60.00°
Sites, in units of the cell vectors:
Pb: 0.5000 0.5000 0.5000
La: 0.2500 0.2500 0.2500
Pt: 0.7500 0.7500 0.7500
La: 0.0000 0.0000 0.0000

- total DFT energy (no corrections) (eV per atom) = -5.28
- crystal system = cubic
- DOS at the Fermi energy (states/eV per cell) = 4.253
- total magnetization (Bohr magnetons per cell) = 0.00



DOS at the Fermi energy of number 2 (Tl2TeAs)?
0.592 states/eV per cell



Among the records above, which one has the highest DOS at the Fermi energy?
LiNp2P3Pt12